Entry w
DFT (PBE-GGA) results for an optimized crystal structure of PmDyNiRu.

```
PmDyNiRu
1.0
0.0000 3.4378 3.4378
3.4378 0.0000 3.4378
3.4378 3.4378 0.0000
Pm Dy Ni Ru
1 1 1 1
direct
0.0000 0.0000 0.0000
0.5000 0.5000 0.5000
0.2500 0.2500 0.2500
0.7500 0.7500 0.7500
```

Values from the calculation:
As for the space-group type: No. 216.


Entry x
DFT (PBE-GGA) results for an optimized crystal structure of PmDyNiRu.

```
PmDyNiRu
1.0
4.0402 0.0000 0.0000
0.0000 2.0027 5.3307
0.0000 -2.0027 5.3307
Pm Dy Ni Ru
1 1 1 1
direct
0.0000 0.0000 0.0000
0.5000 0.2863 0.2863
0.5000 0.5780 0.5780
0.0000 0.7168 0.7168
```

Values from the calculation:
As for the space-group type: No. 38.


entry x is preferred energetically. Next in line: 0.017 eV/atom higher.


Entry w
DFT (PBE-GGA) results for an optimized crystal structure of PmDyZnNi.

```
PmDyZnNi
1.0
4.4383 0.0000 0.0000
0.0000 1.9283 5.2846
0.0000 -1.9283 5.2846
Pm Dy Zn Ni
1 1 1 1
direct
0.0000 0.0000 0.0000
0.5000 0.7176 0.7176
0.5000 0.4253 0.4253
0.0000 0.2926 0.2926
```

Values from the calculation:
As for the space-group type: No. 38.


Entry x
DFT (PBE-GGA) results for an optimized crystal structure of PmDyZnNi.

```
PmDyZnNi
1.0
0.0000 3.5211 3.5211
3.5211 0.0000 3.5211
3.5211 3.5211 0.0000
Pm Dy Zn Ni
1 1 1 1
direct
0.0000 0.0000 0.0000
0.5000 0.5000 0.5000
0.7500 0.7500 0.7500
0.2500 0.2500 0.2500
```

Values from the calculation:
As for the space-group type: No. 216.


entry w is preferred energetically. Next in line: 0.021 eV/atom higher.


Entry w
DFT (PBE-GGA) results for an optimized crystal structure of PrDyNi2.

```
PrDyNi2
1.0
0.0000 3.4510 3.4510
3.4510 0.0000 3.4510
3.4510 3.4510 0.0000
Pr Dy Ni
1 1 2
direct
0.0000 0.0000 0.0000
0.5000 0.5000 0.5000
0.2500 0.2500 0.2500
0.7500 0.7500 0.7500
```

Values from the calculation:
As for the space-group type: No. 225.


Entry x
DFT (PBE-GGA) results for an optimized crystal structure of PrDyNi2.

```
PrDyNi2
1.0
4.2832 0.0000 0.0000
0.0000 1.9037 5.2008
0.0000 -1.9037 5.2008
Pr Dy Ni
1 1 2
direct
0.0000 0.0000 0.0000
0.5000 0.7233 0.7233
0.0000 0.2843 0.2843
0.5000 0.4263 0.4263
```

Values from the calculation:
As for the space-group type: No. 38.


entry x is preferred energetically. Next in line: 0.090 eV/atom higher.


Entry w
DFT (PBE-GGA) results for an optimized crystal structure of PrDyNi2.

```
PrDyNi2
1.0
3.4444 0.0000 0.0000
0.0000 3.4444 0.0000
0.0000 0.0000 6.9001
Pr Dy Ni
1 1 2
direct
0.0000 0.0000 0.0000
0.0000 0.0000 0.5000
0.5000 0.5000 0.2719
0.5000 0.5000 0.7281
```

Values from the calculation:
As for the space-group type: No. 123.


Entry x
DFT (PBE-GGA) results for an optimized crystal structure of PrDyNi2.

```
PrDyNi2
1.0
2.0087 1.1597 6.4442
-2.0087 1.1597 6.4442
0.0000 -2.3194 6.4442
Pr Dy Ni
1 1 2
direct
0.0000 0.0000 0.0000
0.5000 0.5000 0.5000
0.2447 0.2447 0.2447
0.7553 0.7553 0.7553
```

Values from the calculation:
As for the space-group type: No. 166.


entry w is preferred energetically. Next in line: 0.104 eV/atom higher.


Entry w
DFT (PBE-GGA) results for an optimized crystal structure of PrDyNi.

```
PrDyNi
1.0
-1.7380 1.7380 6.3346
1.7380 -1.7380 6.3346
1.7380 1.7380 -6.3346
Pr Dy Ni
1 1 1
direct
0.0000 0.0000 0.0000
0.2621 0.2621 0.0000
0.6468 0.6468 0.0000
```

Values from the calculation:
As for the space-group type: No. 107.


Entry x
DFT (PBE-GGA) results for an optimized crystal structure of PrDyNi.

```
PrDyNi
1.0
0.0000 3.4250 3.4250
3.4250 0.0000 3.4250
3.4250 3.4250 0.0000
Pr Dy Ni
1 1 1
direct
0.0000 0.0000 0.0000
0.5000 0.5000 0.5000
0.2500 0.2500 0.2500
```

Values from the calculation:
As for the space-group type: No. 216.


Entry y
DFT (PBE-GGA) results for an optimized crystal structure of PrDyNi.

```
PrDyNi
1.0
3.4814 0.0000 0.0000
1.7380 6.3901 0.0000
0.0184 1.3612 6.9303
Pr Dy Ni
2 2 2
direct
0.1277 0.2491 0.0703
0.8723 0.7509 0.9297
0.1319 0.2362 0.5768
0.8681 0.7638 0.4232
0.4863 0.5272 0.6976
0.5137 0.4728 0.3024
```

Values from the calculation:
As for the space-group type: No. 2.


Entry z
DFT (PBE-GGA) results for an optimized crystal structure of PrDyNi.

```
PrDyNi
1.0
6.1031 -1.8771 0.0000
6.1031 1.8771 0.0000
-4.9017 0.0000 6.6845
Pr Dy Ni
2 2 2
direct
0.1674 0.1674 0.0805
0.8326 0.8326 0.9195
0.4166 0.4166 0.6146
0.5834 0.5834 0.3854
0.1221 0.1221 0.6660
0.8779 0.8779 0.3340
```

Values from the calculation:
As for the space-group type: No. 12.


entry z is preferred energetically. Next in line: 0.057 eV/atom higher.


Entry w
DFT (PBE-GGA) results for an optimized crystal structure of PrDyNiRu.

```
PrDyNiRu
1.0
4.0440 0.0000 0.0000
0.0000 2.0173 5.3945
0.0000 -2.0173 5.3945
Pr Dy Ni Ru
1 1 1 1
direct
0.0000 0.0000 0.0000
0.5000 0.2858 0.2858
0.5000 0.5820 0.5820
0.0000 0.7197 0.7197
```

Values from the calculation:
As for the space-group type: No. 38.


Entry x
DFT (PBE-GGA) results for an optimized crystal structure of PrDyNiRu.

```
PrDyNiRu
1.0
0.0000 3.4656 3.4656
3.4656 0.0000 3.4656
3.4656 3.4656 0.0000
Pr Dy Ni Ru
1 1 1 1
direct
0.0000 0.0000 0.0000
0.5000 0.5000 0.5000
0.7500 0.7500 0.7500
0.2500 0.2500 0.2500
```

Values from the calculation:
As for the space-group type: No. 216.


entry w is preferred energetically. Next in line: 0.039 eV/atom higher.


Entry w
DFT (PBE-GGA) results for an optimized crystal structure of Dy2Ni2Pt.

```
Dy2Ni2Pt
1.0
4.5443 -2.6510 0.0000
4.5443 2.6510 0.0000
-2.0660 0.0000 7.5799
Dy Ni Pt
4 4 2
direct
0.0091 0.2890 0.1501
0.2890 0.0091 0.6501
0.7110 0.9909 0.3499
0.9909 0.7110 0.8499
0.2319 0.4988 0.5014
0.4988 0.2319 0.0014
0.5012 0.7681 0.9986
0.7681 0.5012 0.4986
0.3158 0.6842 0.2500
0.6842 0.3158 0.7500
```

Values from the calculation:
As for the space-group type: No. 15.


Entry x
DFT (PBE-GGA) results for an optimized crystal structure of Dy2Ni2Pt.

```
Dy2Ni2Pt
1.0
-2.1707 2.6394 4.0095
2.1707 -2.6394 4.0095
2.1707 2.6394 -4.0095
Dy Ni Pt
2 2 1
direct
0.2054 0.2054 0.0000
0.7946 0.7946 0.0000
0.2245 0.5000 0.7245
0.7755 0.5000 0.2755
0.5000 0.0000 0.5000
```

Values from the calculation:
As for the space-group type: No. 71.


entry w is preferred energetically. Next in line: 0.009 eV/atom higher.


Entry w
DFT (PBE-GGA) results for an optimized crystal structure of Dy8Ni2Pt.

```
Dy8Ni2Pt
1.0
8.6354 -2.5046 0.0000
8.6354 2.5046 0.0000
-1.6859 0.0000 6.3813
Dy Ni Pt
8 2 1
direct
0.0378 0.0378 0.2875
0.2031 0.2031 0.8370
0.3280 0.3280 0.5163
0.4096 0.4096 0.0486
0.5904 0.5904 0.9514
0.6720 0.6720 0.4837
0.7969 0.7969 0.1630
0.9622 0.9622 0.7125
0.1870 0.1870 0.2323
0.8131 0.8131 0.7677
0.5000 0.5000 0.5000
```

Values from the calculation:
As for the space-group type: No. 12.


Entry x
DFT (PBE-GGA) results for an optimized crystal structure of Dy8Ni2Pt.

```
Dy8Ni2Pt
1.0
4.1129 -6.2851 0.0000
4.1129 6.2851 0.0000
-1.8390 0.0000 5.6133
Dy Ni Pt
8 2 1
direct
0.0000 0.0000 0.0000
0.0242 0.2849 0.5761
0.1472 0.5820 0.1808
0.2849 0.0242 0.5761
0.4448 0.7067 0.7723
0.5820 0.1472 0.1808
0.7067 0.4448 0.7723
0.7306 0.7306 0.3636
0.0593 0.6725 0.6823
0.6725 0.0593 0.6823
0.3661 0.3661 0.3412
```

Values from the calculation:
As for the space-group type: No. 8.


entry w is preferred energetically. Next in line: 0.093 eV/atom higher.


Entry w
DFT (PBE-GGA) results for an optimized crystal structure of DyThNiPt.

```
DyThNiPt
1.0
4.3138 0.0000 0.0000
0.0000 1.8836 5.4729
0.0000 -1.8836 5.4729
Dy Th Ni Pt
1 1 1 1
direct
0.0000 0.0000 0.0000
0.5000 0.2760 0.2760
0.0000 0.7338 0.7338
0.5000 0.5566 0.5566
```

Values from the calculation:
As for the space-group type: No. 38.


Entry x
DFT (PBE-GGA) results for an optimized crystal structure of DyThNiPt.

```
DyThNiPt
1.0
0.0000 3.5223 3.5223
3.5223 0.0000 3.5223
3.5223 3.5223 0.0000
Dy Th Ni Pt
1 1 1 1
direct
0.0000 0.0000 0.0000
0.5000 0.5000 0.5000
0.2500 0.2500 0.2500
0.7500 0.7500 0.7500
```

Values from the calculation:
As for the space-group type: No. 216.


entry w is preferred energetically. Next in line: 0.149 eV/atom higher.


Entry w
DFT (PBE-GGA) results for an optimized crystal structure of DyPuNi.

```
DyPuNi
1.0
5.6352 -1.6687 0.0000
5.6352 1.6687 0.0000
-1.3940 0.0000 7.3782
Dy Pu Ni
2 2 2
direct
0.1531 0.1531 0.1405
0.8469 0.8469 0.8595
0.0822 0.0822 0.6736
0.9178 0.9178 0.3264
0.3282 0.3282 0.5587
0.6718 0.6718 0.4413
```

Values from the calculation:
As for the space-group type: No. 12.


Entry x
DFT (PBE-GGA) results for an optimized crystal structure of DyPuNi.

```
DyPuNi
1.0
-1.6904 1.6904 5.9980
1.6904 -1.6904 5.9980
1.6904 1.6904 -5.9980
Dy Pu Ni
1 1 1
direct
0.0000 0.0000 0.0000
0.7284 0.7284 0.0000
0.3701 0.3701 0.0000
```

Values from the calculation:
As for the space-group type: No. 107.


entry x is preferred energetically. Next in line: 0.111 eV/atom higher.


Entry w
DFT (PBE-GGA) results for an optimized crystal structure of DyPu2Ni.

```
DyPu2Ni
1.0
2.3260 1.3429 5.2025
-2.3260 1.3429 5.2025
0.0000 -2.6858 5.2025
Dy Pu Ni
1 2 1
direct
0.0000 0.0000 0.0000
0.2199 0.2199 0.2199
0.7801 0.7801 0.7801
0.5000 0.5000 0.5000
```

Values from the calculation:
As for the space-group type: No. 166.


Entry x
DFT (PBE-GGA) results for an optimized crystal structure of DyPu2Ni.

```
DyPu2Ni
1.0
3.4564 0.0000 0.0000
0.0000 3.4564 0.0000
0.0000 0.0000 8.0571
Dy Pu Ni
1 2 1
direct
0.0000 0.0000 0.0000
0.5000 0.5000 0.3084
0.5000 0.5000 0.6916
0.0000 0.0000 0.5000
```

Values from the calculation:
As for the space-group type: No. 123.


entry x is preferred energetically. Next in line: 0.239 eV/atom higher.


Entry w
DFT (PBE-GGA) results for an optimized crystal structure of Dy2PuNi.

```
Dy2PuNi
1.0
1.7519 1.0115 10.3008
-1.7519 1.0115 10.3008
0.0000 -2.0229 10.3008
Dy Pu Ni
2 1 1
direct
0.1088 0.1088 0.1088
0.8912 0.8912 0.8912
0.0000 0.0000 0.0000
0.5000 0.5000 0.5000
```

Values from the calculation:
As for the space-group type: No. 166.


Entry x
DFT (PBE-GGA) results for an optimized crystal structure of Dy2PuNi.

```
Dy2PuNi
1.0
3.4050 0.0000 0.0000
0.0000 3.4050 0.0000
0.0000 0.0000 8.5067
Dy Pu Ni
2 1 1
direct
0.0000 0.0000 0.1913
0.0000 0.0000 0.8087
0.5000 0.5000 0.5000
0.5000 0.5000 0.0000
```

Values from the calculation:
As for the space-group type: No. 123.


entry x is preferred energetically. Next in line: 0.281 eV/atom higher.


Entry w
DFT (PBE-GGA) results for an optimized crystal structure of Dy4Ni2Rh.

```
Dy4Ni2Rh
1.0
-4.3448 4.3465 4.3725
4.3448 -4.3465 4.3725
4.3448 4.3465 -4.3725
Dy Ni Rh
8 4 2
direct
0.1971 0.2536 0.5565
0.1971 0.6407 0.9435
0.2536 0.1971 0.0565
0.3594 0.8029 0.5565
0.6406 0.1971 0.4435
0.7464 0.8029 0.9435
0.8029 0.3593 0.0565
0.8029 0.7464 0.4435
0.0000 0.5000 0.5000
0.5000 0.0000 0.0000
0.5000 0.5000 0.0000
0.5000 0.5000 0.5000
0.1245 0.8745 0.2500
0.8755 0.1255 0.7500
```

Values from the calculation:
As for the space-group type: No. 74.


Entry x
DFT (PBE-GGA) results for an optimized crystal structure of Dy4Ni2Rh.

```
Dy4Ni2Rh
1.0
2.3845 1.3767 7.8456
-2.3845 1.3767 7.8456
0.0000 -2.7533 7.8456
Dy Ni Rh
4 2 1
direct
0.1237 0.1237 0.1237
0.3747 0.3747 0.3747
0.6253 0.6253 0.6253
0.8763 0.8763 0.8763
0.2490 0.2490 0.2490
0.7510 0.7510 0.7510
0.5000 0.5000 0.5000
```

Values from the calculation:
As for the space-group type: No. 166.


entry x is preferred energetically. Next in line: 0.064 eV/atom higher.